# Be2IrC

A geometry-optimized Be2IrC structure (PBE, the Alexandria database).

Cell: 6.353 6.353 4.924 Å, 49.82 49.82 90.00°
Element x y z (fractional)
Be  0.504  0.125  0.250
Be  0.246  0.625  0.250
Be  0.375  0.496  0.750
Be  0.875  0.754  0.750
C  0.500  0.500  0.000
C  0.250  0.750  0.500
Ir  0.000  0.000  0.000
Ir  0.750  0.250  0.500

Results
Uncorrected energy = -48.4 eV/cell
DOS(E_F) = 3.71 states/eV/cell
Energy of formation = 7.77 kcal/mol of atoms
Symmetry = I-42d (122)